Entry 1:
First-principles (GGA-PBE) data for a relaxed Np2Co3P4Ir crystal, as listed in Alexandria.

The structure in POSCAR format:
```
Np2Co3P4Ir
1.0
3.951 0.000 0.000
0.000 3.951 0.000
0.000 0.000 9.205
Co Np P Ir
3 2 4 1
Cartesian
0.000 1.976 1.016 Co
0.000 0.000 4.603 Co
1.976 0.000 8.189 Co
1.976 0.000 2.198 Np
0.000 1.976 7.007 Np
0.000 0.000 0.000 P
1.976 0.000 5.952 P
0.000 1.976 3.253 P
1.976 1.976 0.000 P
1.976 1.976 4.603 Ir
```

Properties
ρ = 11.17 Mg/m³
DFT formation energy = -725.0 kJ/mol of formula units
Magnetization = 0.6900 μB per atom


Entry 2:
First-principles (GGA-PBE) data for a relaxed NpCoP2Ir2 crystal, as listed in Alexandria.

The structure in POSCAR format:
```
NpCoP2Ir2
1.0
3.825 0.000 0.000
0.000 6.187 0.000
0.000 0.000 7.688
Np P Co Ir
2 4 2 4
Cartesian
0.000 3.090 4.148 Np
0.000 6.184 3.540 Np
0.000 1.610 6.498 P
0.000 4.704 1.190 P
1.912 1.749 2.449 P
1.912 4.843 5.239 P
1.912 0.787 5.843 Co
1.912 3.881 1.845 Co
1.912 3.208 6.875 Ir
0.000 2.212 1.074 Ir
1.912 0.114 0.813 Ir
0.000 5.306 6.614 Ir
```

Properties
ρ = 13.55 Mg/m³
DFT formation energy = -269.6 kJ/mol of formula units
Magnetization = 0.6370 μB per atom